Computed, not measured: a relaxed Ti5NbCo6 crystal at the GGA-PBE level of DFT.

Cell: 12.542 6.532 4.091 Å, 90.00 108.96 90.00°
Space group C2/m (No. 12)
Symmetry-distinct sites (fractional):
Ti (0.000, 0.000, 0.000) [2 per cell]
Ti (0.150, 0.500, 0.650) [4 per cell]
Ti (0.181, 0.000, 0.681) [4 per cell]
Nb (0.000, 0.500, 0.000) [2 per cell]
Co (0.000, 0.212, 0.500) [4 per cell]
Co (0.168, 0.225, 0.168) [8 per cell]

ΔE_f = -0.3378 eV/atom



Computed, not measured: a relaxed Ti2NbVCo crystal at the GGA-PBE level of DFT.

Cell: 4.444 4.444 4.348 Å, 90.00 90.00 90.00°
Space group P4/mmm (No. 123)
Symmetry-distinct sites (fractional):
Ti (0.000, 0.500, 0.000) [2 per cell]
Nb (0.000, 0.000, 0.500) [1 per cell]
V (0.500, 0.500, 0.500) [1 per cell]
Co (0.500, 0.500, 0.000) [1 per cell]

ΔE_f = 0.4827 eV/atom



Computed, not measured: a relaxed TiNbVCo crystal at the GGA-PBE level of DFT.

Cell: 6.134 6.134 6.134 Å, 90.00 90.00 90.00°
Space group F-43m (No. 216)
Symmetry-distinct sites (fractional):
Ti (0.000, 0.000, 0.000) [4 per cell]
Nb (0.000, 0.000, 0.500) [4 per cell]
V (0.250, 0.250, 0.750) [4 per cell]
Co (0.250, 0.250, 0.250) [4 per cell]

ΔE_f = -0.0837 eV/atom



Computed, not measured: a relaxed TiNbCoW crystal at the GGA-PBE level of DFT.

Cell: 6.248 6.248 6.248 Å, 90.00 90.00 90.00°
Space group F-43m (No. 216)
Symmetry-distinct sites (fractional):
Ti (0.000, 0.000, 0.000) [4 per cell]
Nb (0.000, 0.000, 0.500) [4 per cell]
Co (0.250, 0.250, 0.750) [4 per cell]
W (0.250, 0.250, 0.250) [4 per cell]

ΔE_f = -0.0959 eV/atom



Computed, not measured: a relaxed Ti5Nb2ZnCo2 crystal at the GGA-PBE level of DFT.

Cell: 10.232 10.232 3.051 Å, 90.00 90.00 90.00°
Space group P4/mbm (No. 127)
Symmetry-distinct sites (fractional):
Ti (0.000, 0.500, 0.000) [2 per cell]
Ti (0.064, 0.206, 0.000) [8 per cell]
Nb (0.174, 0.674, 0.500) [4 per cell]
Zn (0.000, 0.000, 0.500) [2 per cell]
Co (0.128, 0.372, 0.500) [4 per cell]

ΔE_f = -0.1478 eV/atom



Computed, not measured: a relaxed TiNbZnCo crystal at the GGA-PBE level of DFT.

Cell: 6.222 6.222 6.222 Å, 90.00 90.00 90.00°
Space group F-43m (No. 216)
Symmetry-distinct sites (fractional):
Ti (0.000, 0.000, 0.000) [4 per cell]
Nb (0.000, 0.000, 0.500) [4 per cell]
Zn (0.250, 0.250, 0.750) [4 per cell]
Co (0.250, 0.250, 0.250) [4 per cell]

ΔE_f = -0.0782 eV/atom



Computed, not measured: a relaxed NbTlCo2 crystal at the GGA-PBE level of DFT.

Cell: 6.229 6.229 6.229 Å, 90.00 90.00 90.00°
Space group Fm-3m (No. 225)
Symmetry-distinct sites (fractional):
Nb (0.000, 0.000, 0.000) [4 per cell]
Tl (0.000, 0.000, 0.500) [4 per cell]
Co (0.250, 0.250, 0.250) [8 per cell]

ΔE_f = 0.1788 eV/atom



Computed, not measured: a relaxed NbTl3Co crystal at the GGA-PBE level of DFT.

Cell: 4.907 4.907 4.907 Å, 90.00 90.00 90.00°
Space group Pm-3m (No. 221)
Symmetry-distinct sites (fractional):
Nb (0.000, 0.000, 0.000) [1 per cell]
Tl (0.000, 0.500, 0.500) [3 per cell]
Co (0.500, 0.500, 0.500) [1 per cell]

ΔE_f = 1.0212 eV/atom



Computed, not measured: a relaxed NbTl3Co crystal at the GGA-PBE level of DFT.

Cell: 5.466 5.466 5.466 Å, 90.00 90.00 90.00°
Space group Pm-3m (No. 221)
Symmetry-distinct sites (fractional):
Nb (0.000, 0.000, 0.000) [1 per cell]
Tl (0.000, 0.000, 0.500) [3 per cell]
Co (0.500, 0.500, 0.500) [1 per cell]

ΔE_f = 1.3121 eV/atom



Computed, not measured: a relaxed NbTlCo2 crystal at the GGA-PBE level of DFT.

Cell: 6.893 6.893 5.704 Å, 90.00 90.00 90.00°
Space group I-42d (No. 122)
Symmetry-distinct sites (fractional):
Nb (0.000, 0.000, 0.000) [4 per cell]
Tl (0.000, 0.000, 0.500) [4 per cell]
Co (0.213, 0.250, 0.125) [8 per cell]

ΔE_f = 0.6233 eV/atom



Computed, not measured: a relaxed Nb3TlCo crystal at the GGA-PBE level of DFT.

Cell: 4.643 4.643 4.643 Å, 90.00 90.00 90.00°
Space group Pm-3m (No. 221)
Symmetry-distinct sites (fractional):
Nb (0.000, 0.000, 0.500) [3 per cell]
Tl (0.500, 0.500, 0.500) [1 per cell]
Co (0.000, 0.000, 0.000) [1 per cell]

ΔE_f = 0.5913 eV/atom



Computed, not measured: a relaxed TmNbCo2 crystal at the GGA-PBE level of DFT.

Cell: 3.118 3.118 6.664 Å, 90.00 90.00 90.00°
Space group P4/mmm (No. 123)
Symmetry-distinct sites (fractional):
Tm (0.000, 0.000, 0.000) [1 per cell]
Nb (0.000, 0.000, 0.500) [1 per cell]
Co (0.500, 0.500, 0.295) [2 per cell]

ΔE_f = -0.1427 eV/atom



no.,N(E_F) (states/eV per cell),M_tot (μB/f.u.)
1,26.43,0.0
2,7.61,0.5
3,18.96,0.0
4,4.60,0.0
5,18.21,0.0
6,7.63,1.9
7,4.01,2.0
8,6.48,0.0
9,6.34,2.4
10,9.78,0.0
11,8.26,0.0
12,4.82,0.0